1.
PBE HgSe, optimized geometry; volume = 136.6 Å³/cell; symmetry = Imma; raw total energy = -1.7619 eV per atom; total moment = 0.000 μB per atom
1.0
9.822 1.251 -0.333
7.752 6.160 0.333
-8.772 -3.741 2.684
Hg Se
2 2
Direct
0.326 0.576 0.250 Hg
0.674 0.424 0.750 Hg
0.965 0.215 0.250 Se
0.035 0.785 0.750 Se



2.
PBE LiUCo2Ge2, optimized geometry; volume = 89.9 Å³/cell; energy of formation = -0.284 eV/atom; symmetry = P-3m1; total moment = 0.173 μB per atom
1.0
-3.499 -1.217 -1.698
3.496 -0.351 -2.064
0.832 -5.716 2.382
Li U Co Ge
1 1 2 2
Direct
0.000 0.000 0.500 Li
0.000 0.000 0.000 U
0.667 0.333 0.258 Co
0.333 0.667 0.742 Co
0.667 0.333 0.690 Ge
0.333 0.667 0.310 Ge



| no. | density of states at the Fermi level (states/eV/f.u.) |
| --- | --- |
| 1 | 0.4 |
| 2 | 7.6 |